(1)
Density functional theory data (GGA-PBE) for TiNiHg3 after structural relaxation.

POSCAR file:
```
TiNiHg3
1.0
4.856 0.000 0.000
0.000 4.856 0.000
0.000 0.000 4.856
Ti Ni Hg
1 1 3
Cartesian
0.000 0.000 0.000
2.428 2.428 2.428
0.000 2.428 2.428
2.428 0.000 2.428
2.428 2.428 0.000
```

Results
Its formation energy is 0.61 eV/atom.

---

(2)
Density functional theory data (GGA-PBE) for Ti2NiHg after structural relaxation.

POSCAR file:
```
Ti2NiHg
1.0
3.962 0.000 0.000
0.000 3.962 0.000
0.000 0.000 4.082
Ti Ni Hg
2 1 1
Cartesian
0.000 1.981 0.000
1.981 0.000 0.000
0.000 0.000 2.041
1.981 1.981 2.041
```

Results
Its formation energy is -0.07 eV/atom.

---

(3)
Density functional theory data (GGA-PBE) for Ti2NiHg after structural relaxation.

POSCAR file:
```
Ti2NiHg
1.0
1.800 1.039 6.607
-1.800 1.039 6.607
0.000 -2.079 6.607
Ti Ni Hg
2 1 1
Cartesian
0.000 0.000 0.000
0.000 0.000 4.202
0.000 0.000 12.111
0.000 0.000 15.293
```

Results
Its formation energy is 0.08 eV/atom.

---

(4)
Density functional theory data (GGA-PBE) for Ti2NiHg after structural relaxation.

POSCAR file:
```
Ti2NiHg
1.0
0.000 3.211 3.211
3.211 0.000 3.211
3.211 3.211 0.000
Ti Ni Hg
2 1 1
Cartesian
1.605 1.605 1.605
4.816 4.816 4.816
0.000 0.000 0.000
3.211 3.211 3.211
```

Results
Its formation energy is -0.02 eV/atom.

---

(5)
Density functional theory data (GGA-PBE) for Ti2NiHg after structural relaxation.

POSCAR file:
```
Ti2NiHg
1.0
-1.886 1.886 9.675
1.886 -1.886 9.675
1.886 1.886 -9.675
Ti Ni Hg
4 2 2
Cartesian
2.830 0.912 -2.419
0.912 0.943 2.419
-0.943 0.975 7.256
0.975 0.943 12.093
0.000 0.000 0.000
0.000 1.886 4.837
1.886 0.000 4.837
0.000 0.000 9.675
```

Results
Its formation energy is 0.37 eV/atom.

---

(6)
Density functional theory data (GGA-PBE) for TiNi2Hg2 after structural relaxation.

POSCAR file:
```
TiNi2Hg2
1.0
6.384 0.000 0.000
0.000 6.384 0.000
0.000 0.000 3.997
Ti Ni Hg
2 4 4
Cartesian
0.000 0.000 0.000
3.192 3.192 0.000
0.845 2.347 0.000
2.347 5.539 0.000
4.037 0.845 0.000
5.539 4.037 0.000
1.106 4.298 1.998
2.086 1.106 1.998
4.298 5.277 1.998
5.277 2.086 1.998
```

Results
Its formation energy is 0.05 eV/atom.

---

(7)
Density functional theory data (GGA-PBE) for TiNi3Hg after structural relaxation.

POSCAR file:
```
TiNi3Hg
1.0
4.386 0.000 0.000
0.000 4.386 0.000
0.000 0.000 4.386
Ti Ni Hg
1 3 1
Cartesian
0.000 0.000 0.000
0.000 0.000 2.193
0.000 2.193 0.000
2.193 0.000 0.000
2.193 2.193 2.193
```

Results
Its formation energy is 0.83 eV/atom.

---

(8)
Density functional theory data (GGA-PBE) for TlNi2Hg after structural relaxation.

POSCAR file:
```
TlNi2Hg
1.0
1.593 0.920 7.926
-1.593 0.920 7.926
0.000 -1.839 7.926
Tl Ni Hg
1 2 1
Cartesian
0.000 0.000 0.000
0.000 0.000 5.941
0.000 0.000 17.838
0.000 0.000 11.889
```

Results
Its formation energy is 0.37 eV/atom.

---

(9)
Density functional theory data (GGA-PBE) for TlNi4Hg after structural relaxation.

POSCAR file:
```
TlNi4Hg
1.0
0.000 3.521 3.521
3.521 0.000 3.521
3.521 3.521 0.000
Tl Ni Hg
1 4 1
Cartesian
0.000 0.000 0.000
4.401 2.642 2.642
2.642 4.401 2.642
2.642 2.642 4.401
4.401 4.401 4.401
1.761 1.761 1.761
```

Results
Its formation energy is 0.26 eV/atom.

---

(10)
Density functional theory data (GGA-PBE) for TlNi2Hg after structural relaxation.

POSCAR file:
```
TlNi2Hg
1.0
-1.910 1.910 4.605
1.910 -1.910 4.605
1.910 1.910 -4.605
Tl Ni Hg
1 2 1
Cartesian
0.000 0.000 0.000
0.000 0.000 4.605
0.000 1.910 2.303
1.910 0.000 2.303
```

Results
Its formation energy is 0.36 eV/atom.

---

(11)
Density functional theory data (GGA-PBE) for Tl2NiHg after structural relaxation.

POSCAR file:
```
Tl2NiHg
1.0
3.232 0.000 0.000
0.000 3.328 0.000
-0.315 0.000 8.920
Tl Ni Hg
2 1 1
Cartesian
0.003 0.000 1.655
2.914 0.000 7.266
1.616 1.664 0.000
-0.158 1.664 4.460
```

Results
Its formation energy is 0.21 eV/atom.

---

(12)
Density functional theory data (GGA-PBE) for Tl2NiHg after structural relaxation.

POSCAR file:
```
Tl2NiHg
1.0
-2.228 2.228 4.627
2.228 -2.228 4.627
2.228 2.228 -4.627
Tl Ni Hg
2 1 1
Cartesian
0.000 0.000 0.000
0.000 2.228 2.313
0.000 0.000 4.627
2.228 0.000 2.313
```

Results
Its formation energy is 0.40 eV/atom.

---

(13)
Density functional theory data (GGA-PBE) for TlNiHg3 after structural relaxation.

POSCAR file:
```
TlNiHg3
1.0
5.801 0.000 0.000
0.000 5.801 0.000
0.000 0.000 5.801
Tl Ni Hg
1 1 3
Cartesian
0.000 0.000 0.000
2.901 2.901 2.901
0.000 0.000 2.901
0.000 2.901 0.000
2.901 0.000 0.000
```

Results
Its formation energy is 0.93 eV/atom.

---

(14)
Density functional theory data (GGA-PBE) for TlNi2Hg after structural relaxation.

POSCAR file:
```
TlNi2Hg
1.0
4.094 -1.617 0.000
4.094 1.617 0.000
-1.274 0.000 5.238
Tl Ni Hg
1 2 1
Cartesian
0.000 0.000 0.000
1.098 0.000 3.906
5.816 0.000 1.332
3.457 0.000 2.619
```

Results
Its formation energy is 0.35 eV/atom.

---

(15)
Density functional theory data (GGA-PBE) for Tl2NiHg after structural relaxation.

POSCAR file:
```
Tl2NiHg
1.0
-1.579 2.199 7.019
1.579 -2.199 7.019
1.579 2.199 -7.019
Tl Ni Hg
2 1 1
Cartesian
0.000 0.000 2.406
0.000 0.000 11.633
1.579 0.000 0.000
0.000 2.199 0.000
```

Results
Its formation energy is 0.16 eV/atom.

---

(16)
Density functional theory data (GGA-PBE) for TlNiHg after structural relaxation.

POSCAR file:
```
TlNiHg
1.0
0.000 3.176 3.176
3.176 0.000 3.176
3.176 3.176 0.000
Tl Ni Hg
1 1 1
Cartesian
0.000 0.000 0.000
1.588 1.588 1.588
3.176 3.176 3.176
```

Results
Its formation energy is 0.23 eV/atom.

---

(17)
Density functional theory data (GGA-PBE) for Tl2NiHg after structural relaxation.

POSCAR file:
```
Tl2NiHg
1.0
3.957 0.000 0.000
0.000 2.588 5.224
0.000 -2.588 5.224
Tl Ni Hg
2 1 1
Cartesian
0.000 0.000 0.000
1.979 0.000 3.477
1.979 0.000 8.657
0.000 0.000 6.909
```

Results
Its formation energy is 0.19 eV/atom.

---

(18)
Density functional theory data (GGA-PBE) for Tl2NiHg after structural relaxation.

POSCAR file:
```
Tl2NiHg
1.0
-2.873 2.873 7.733
2.873 -2.873 7.733
2.873 2.873 -7.733
Tl Ni Hg
4 2 2
Cartesian
4.310 0.836 -1.933
0.836 1.437 1.933
-1.437 2.037 5.799
2.037 1.437 9.666
0.000 0.000 0.000
0.000 2.873 3.866
2.873 0.000 3.866
0.000 0.000 7.733
```

Results
Its formation energy is 0.41 eV/atom.

---

(19)
Density functional theory data (GGA-PBE) for TlNi2Hg after structural relaxation.

POSCAR file:
```
TlNi2Hg
1.0
3.667 0.000 0.000
0.000 3.896 0.000
-1.784 0.000 4.880
Tl Ni Hg
1 2 1
Cartesian
0.000 0.000 0.000
0.025 0.000 2.711
0.045 1.948 4.216
1.854 1.948 2.101
```

Results
Its formation energy is 0.27 eV/atom.

---

(20)
Density functional theory data (GGA-PBE) for Tl2NiHg after structural relaxation.

POSCAR file:
```
Tl2NiHg
1.0
3.602 -3.569 0.000
3.602 3.569 0.000
-0.012 0.000 3.597
Tl Ni Hg
2 1 1
Cartesian
1.801 1.784 0.000
1.801 -1.784 0.000
-0.006 0.000 1.799
3.596 0.000 1.799
```

Results
Its formation energy is 0.39 eV/atom.

---

(21)
Density functional theory data (GGA-PBE) for TlNi2Hg2 after structural relaxation.

POSCAR file:
```
TlNi2Hg2
1.0
6.987 0.000 0.000
0.000 6.987 0.000
0.000 0.000 3.731
Tl Ni Hg
2 4 4
Cartesian
0.000 0.000 0.000
3.494 3.494 0.000
0.931 2.562 0.000
2.562 6.056 0.000
4.425 0.931 0.000
6.056 4.425 0.000
1.111 4.605 1.866
2.382 1.111 1.866
4.605 5.876 1.866
5.876 2.382 1.866
```

Results
Its formation energy is 0.21 eV/atom.

---

(22)
Density functional theory data (GGA-PBE) for Tl3NiHg after structural relaxation.

POSCAR file:
```
Tl3NiHg
1.0
5.163 0.000 0.000
0.000 5.163 0.000
0.000 0.000 5.163
Tl Ni Hg
3 1 1
Cartesian
0.000 0.000 2.581
0.000 2.581 0.000
2.581 0.000 0.000
0.000 0.000 0.000
2.581 2.581 2.581
```

Results
Its formation energy is 0.07 eV/atom.

---

(23)
Density functional theory data (GGA-PBE) for Tl2NiHg after structural relaxation.

POSCAR file:
```
Tl2NiHg
1.0
1.772 1.023 8.806
-1.772 1.023 8.806
0.000 -2.046 8.806
Tl Ni Hg
2 1 1
Cartesian
0.000 0.000 0.000
0.000 0.000 6.019
0.000 0.000 13.094
0.000 0.000 20.196
```

Results
Its formation energy is 0.23 eV/atom.

---

(24)
Density functional theory data (GGA-PBE) for TlNi2Hg after structural relaxation.

POSCAR file:
```
TlNi2Hg
1.0
4.513 0.000 0.000
0.000 4.513 0.000
0.000 0.000 3.205
Tl Ni Hg
1 2 1
Cartesian
0.000 0.000 0.000
0.000 2.256 1.603
2.256 0.000 1.603
2.256 2.256 0.000
```

Results
Its formation energy is 0.28 eV/atom.

---

(25)
Density functional theory data (GGA-PBE) for TlNi2Hg2 after structural relaxation.

POSCAR file:
```
TlNi2Hg2
1.0
-2.080 2.080 5.798
2.080 -2.080 5.798
2.080 2.080 -5.798
Tl Ni Hg
1 2 2
Cartesian
0.000 0.000 0.000
0.000 0.000 4.646
0.000 0.000 6.950
2.080 0.000 2.899
0.000 2.080 2.899
```

Results
Its formation energy is 0.36 eV/atom.

---

(26)
Density functional theory data (GGA-PBE) for TlNi2Hg after structural relaxation.

POSCAR file:
```
TlNi2Hg
1.0
5.065 -1.526 0.000
5.065 1.526 0.000
-1.212 0.000 4.353
Tl Ni Hg
1 2 1
Cartesian
0.000 0.000 0.000
4.045 0.000 2.056
7.491 0.000 0.715
1.405 0.000 2.747
```

Results
Its formation energy is 0.30 eV/atom.

---

(27)
Density functional theory data (GGA-PBE) for Tl4NiHg2 after structural relaxation.

POSCAR file:
```
Tl4NiHg2
1.0
-2.546 2.546 8.238
2.546 -2.546 8.238
2.546 2.546 -8.238
Tl Ni Hg
4 1 2
Cartesian
2.546 0.000 0.000
0.000 0.000 2.704
0.000 2.546 0.000
0.000 0.000 13.772
0.000 0.000 0.000
0.000 0.000 5.802
0.000 0.000 10.674
```

Results
Its formation energy is 0.10 eV/atom.

---

(28)
Density functional theory data (GGA-PBE) for Tl2NiHg after structural relaxation.

POSCAR file:
```
Tl2NiHg
1.0
3.291 0.000 0.000
0.000 3.291 0.000
0.000 0.000 8.533
Tl Ni Hg
2 1 1
Cartesian
0.000 0.000 0.000
1.645 1.645 2.824
1.645 1.645 6.843
0.000 0.000 5.349
```

Results
Its formation energy is 0.19 eV/atom.

---

(29)
Density functional theory data (GGA-PBE) for TlNi3Hg after structural relaxation.

POSCAR file:
```
TlNi3Hg
1.0
4.781 0.000 0.000
0.000 4.781 0.000
0.000 0.000 4.781
Tl Ni Hg
1 3 1
Cartesian
0.000 0.000 0.000
0.000 2.391 2.391
2.391 0.000 2.391
2.391 2.391 0.000
2.391 2.391 2.391
```

Results
Its formation energy is 1.12 eV/atom.

---

| no. | volume (A^3/atom) | Fermi-level density of states (states/eV/atom) | final energy (eV for the cell shown) |
| --- | --- | --- | --- |
| 1 | 22.9 | 1.469 | -11.53 |
| 2 | 16.0 | 1.335 | -22.14 |
| 3 | 18.5 | 1.275 | -21.55 |
| 4 | 16.6 | 0.635 | -21.95 |
| 5 | 17.2 | 1.412 | -40.81 |
| 6 | 16.3 | 0.392 | -39.57 |
| 7 | 16.9 | 0.670 | -21.40 |
| 8 | 17.4 | 0.498 | -12.75 |
| 9 | 14.6 | 1.269 | -24.26 |
| 10 | 16.8 | 0.599 | -12.80 |
| 11 | 24.0 | 0.426 | -9.98 |
| 12 | 23.0 | 0.907 | -9.21 |
| 13 | 39.0 | 2.679 | -4.41 |
| 14 | 17.3 | 0.388 | -12.82 |
| 15 | 24.4 | 0.633 | -10.17 |
| 16 | 21.4 | 0.993 | -7.77 |
| 17 | 26.7 | 0.398 | -10.04 |
| 18 | 31.9 | 0.586 | -18.36 |
| 19 | 17.4 | 0.757 | -13.15 |
| 20 | 23.1 | 0.714 | -9.26 |
| 21 | 18.2 | 0.632 | -26.96 |
| 22 | 27.5 | 0.616 | -12.83 |
| 23 | 23.9 | 0.789 | -9.89 |
| 24 | 16.3 | 0.787 | -13.10 |
| 25 | 20.1 | 0.929 | -12.71 |
| 26 | 16.8 | 0.826 | -13.01 |
| 27 | 30.5 | 0.560 | -15.17 |
| 28 | 23.1 | 0.483 | -10.06 |
| 29 | 21.9 | 1.156 | -14.41 |